A relaxed Ca5MgSb4 crystal. Source: Alexandria, functional PBE. Values from VASP.

Cell and atoms, written as Quantum ESPRESSO input:
```
&SYSTEM
  ibrav = 0, nat = 10, ntyp = 3
/
ATOMIC_SPECIES
Ca 40.08 Ca.upf
Sb 121.76 Sb.upf
Mg 24.30 Mg.upf
ATOMIC_POSITIONS angstrom
Ca 2.3891 3.5336 -1.7725
Ca 2.3891 2.1773 5.8350
Sb 2.3891 -0.7279 4.2314
Sb 2.3891 1.0105 8.9116
Sb 0.0000 3.5599 4.2988
Ca 0.0000 0.6546 2.6953
Sb 0.0000 1.8215 -0.3813
Mg 2.3891 0.0000 0.0000
Ca 2.3891 -1.5850 7.3397
Ca 0.0000 4.4169 1.1906
CELL_PARAMETERS angstrom
4.7781 0.0000 0.0000
0.0000 7.0672 -3.5450
-2.3891 -4.2353 12.0753
```

Values from the calculation:
**Magnetic moment**: 0.0 μB/cell
**Space group**: C2/m, No. 12
**Raw formation energy**: -0.822 eV/atom

---

A relaxed PmNpCd2O8 crystal. Source: Alexandria, functional PBE. Values from VASP.

Cell and atoms, written as Quantum ESPRESSO input:
```
&SYSTEM
  ibrav = 0, nat = 12, ntyp = 4
/
ATOMIC_SPECIES
Pm 145.00 Pm.upf
Np 237.00 Np.upf
O 16.00 O.upf
Cd 112.41 Cd.upf
ATOMIC_POSITIONS angstrom
Pm 0.0021 0.0035 3.5640
Np 0.0000 0.0000 0.0000
O 3.7988 3.6875 -0.0064
O 2.3198 0.7484 3.5618
O 1.6113 1.1018 7.1258
Cd 2.7061 2.3965 5.4252
O 0.8611 3.5750 1.6187
O 4.5491 1.2143 5.5007
Cd 2.7041 2.3928 1.6942
O 3.0904 4.0409 3.5576
O 4.5470 1.2107 1.6197
O 0.8632 3.5786 5.4997
CELL_PARAMETERS angstrom
5.2567 0.1096 -0.0032
0.1493 4.6726 -0.0054
0.0041 0.0071 7.1280
```

Values from the calculation:
**Magnetic moment**: 0.0 μB/cell
**Space group**: P2/m, No. 10
**Raw formation energy**: -1.906 eV/atom

---

A relaxed K3U3NbS8 crystal. Source: Alexandria, functional PBE. Values from VASP.

Cell and atoms, written as Quantum ESPRESSO input:
```
&SYSTEM
  ibrav = 0, nat = 15, ntyp = 4
/
ATOMIC_SPECIES
S 32.06 S.upf
U 238.03 U.upf
Nb 92.91 Nb.upf
K 39.10 K.upf
ATOMIC_POSITIONS angstrom
S -2.3571 -4.4483 -0.9437
U -3.4730 -3.1430 3.5891
Nb 0.1353 -1.7281 4.0700
S 1.1966 -2.9031 -0.4368
S -1.5741 -1.8349 2.1042
K 2.8609 -1.0803 -2.4291
S -2.4207 -5.5437 2.7569
S 1.1330 -3.9984 3.2639
K 0.0000 0.0000 0.0000
S 0.3501 -6.6118 0.2160
K -0.7473 -2.4953 -2.9099
S 4.1296 -5.1297 0.7197
U -0.6120 -4.2234 1.1601
U 2.9962 -2.8084 1.6409
S -5.3537 -3.3170 1.6004
CELL_PARAMETERS angstrom
-7.2165 -2.8299 -0.9617
5.7219 -2.1607 -4.8581
0.2705 -3.4561 8.1399
```

Values from the calculation:
**Magnetic moment**: 10.1 μB/cell
**Space group**: R-3m, No. 166
**Raw formation energy**: -1.326 eV/atom

---

A relaxed InIr2Se crystal. Source: Alexandria, functional PBE. Values from VASP.

Cell and atoms, written as Quantum ESPRESSO input:
```
&SYSTEM
  ibrav = 0, nat = 4, ntyp = 3
/
ATOMIC_SPECIES
Ir 192.22 Ir.upf
In 114.82 In.upf
Se 78.96 Se.upf
ATOMIC_POSITIONS angstrom
Ir 2.3090 1.3331 0.9426
Ir 0.0000 0.0000 0.0000
In 4.6179 2.6662 1.8853
Se 6.9269 3.9992 2.8279
CELL_PARAMETERS angstrom
4.6179 0.0000 0.0000
2.3090 3.9992 0.0000
2.3090 1.3331 3.7705
```

Values from the calculation:
**Magnetic moment**: 0.0 μB/cell
**Space group**: F-43m, No. 216
**Energy above the lowest structure with this stoichiometry**: 454 meV per atom
**Raw formation energy**: 0.622 eV/atom

---

A relaxed CeTmInBi crystal. Source: Alexandria, functional PBE. Values from VASP.

Cell and atoms, written as Quantum ESPRESSO input:
```
&SYSTEM
  ibrav = 0, nat = 4, ntyp = 4
/
ATOMIC_SPECIES
Tm 168.93 Tm.upf
Bi 208.98 Bi.upf
In 114.82 In.upf
Ce 140.12 Ce.upf
ATOMIC_POSITIONS angstrom
Tm -8.7924 1.1160 -4.6446
Bi -5.8616 0.7440 -3.0964
In 0.0000 0.0000 0.0000
Ce -2.9308 0.3720 -1.5482
CELL_PARAMETERS angstrom
-4.2924 3.2861 -0.6657
-2.4587 0.3198 -4.8496
-4.9721 -2.1180 -0.6775
```

Values from the calculation:
**Magnetic moment**: 1.5 μB/cell
**Space group**: F-43m, No. 216
**ΔE_f**: -403 meV per atom

---

A relaxed BeCdRe crystal. Source: Alexandria, functional PBE. Values from VASP.

Cell and atoms, written as Quantum ESPRESSO input:
```
&SYSTEM
  ibrav = 0, nat = 3, ntyp = 3
/
ATOMIC_SPECIES
Be 9.01 Be.upf
Cd 112.41 Cd.upf
Re 186.21 Re.upf
ATOMIC_POSITIONS angstrom
Be 0.2386 0.0977 0.0000
Cd 3.1958 1.3086 0.0000
Re 5.9533 2.4378 0.0000
CELL_PARAMETERS angstrom
5.4829 -0.0050 0.0000
3.9047 3.8491 0.0000
-4.6938 -1.9220 2.0823
```

Values from the calculation:
**Magnetic moment**: 0.0 μB/cell
**Space group**: I4mm, No. 107
**Energy above the lowest structure with this stoichiometry**: 26 meV per atom
**ΔE_f**: 482 meV per atom

---

A relaxed Ca2YTe4 crystal. Source: Alexandria, functional PBE. Values from VASP.

Cell and atoms, written as Quantum ESPRESSO input:
```
&SYSTEM
  ibrav = 0, nat = 7, ntyp = 3
/
ATOMIC_SPECIES
Ca 40.08 Ca.upf
Te 127.60 Te.upf
Y 88.91 Y.upf
ATOMIC_POSITIONS angstrom
Ca 5.8383 5.8383 5.9650
Te 5.8382 5.8382 3.0153
Te 2.9191 0.0000 0.0000
Y 0.0000 0.0000 0.0000
Te 0.0000 2.9191 0.0000
Te 2.9191 2.9191 4.8531
Ca 2.9191 2.9191 1.9034
CELL_PARAMETERS angstrom
5.8383 0.0000 0.0000
0.0000 5.8383 0.0000
2.9191 2.9191 7.8684
```

Values from the calculation:
**Magnetic moment**: 0.0 μB/cell
**Space group**: I4/mmm, No. 139
**Energy above the lowest structure with this stoichiometry**: 237 meV per atom
**Raw formation energy**: -1.069 eV/atom

---

A relaxed TbHo2PuO8 crystal. Source: Alexandria, functional PBE. Values from VASP.

Cell and atoms, written as Quantum ESPRESSO input:
```
&SYSTEM
  ibrav = 0, nat = 12, ntyp = 4
/
ATOMIC_SPECIES
O 16.00 O.upf
Ho 164.93 Ho.upf
Pu 244.00 Pu.upf
Tb 158.93 Tb.upf
ATOMIC_POSITIONS angstrom
O 0.5215 -8.5745 -1.0569
Ho -1.5788 -3.6518 -0.4311
Ho 0.5673 -6.1972 -0.7641
O -1.7722 -3.1680 -2.6667
Pu 0.0000 0.0000 0.0000
O -1.5330 -1.2744 -0.1382
O -1.7297 -3.7241 1.8583
O 0.7182 -6.1249 -3.0535
O 0.7607 -6.6810 1.4716
Tb 2.2327 -2.6495 -0.3466
O -1.5471 -5.7899 -0.6939
O 0.5356 -4.0591 -0.5012
CELL_PARAMETERS angstrom
-2.7025 -2.7143 3.3392
-2.7743 -1.8356 -3.8413
4.4653 -5.2991 -0.6932
```

Values from the calculation:
**Magnetic moment**: 1.0 μB/cell
**Space group**: Cmmm, No. 65
**Raw formation energy**: -3.098 eV/atom

---

A relaxed K3NpSb2Te6 crystal. Source: Alexandria, functional PBE. Values from VASP.

Cell and atoms, written as Quantum ESPRESSO input:
```
&SYSTEM
  ibrav = 0, nat = 12, ntyp = 4
/
ATOMIC_SPECIES
K 39.10 K.upf
Te 127.60 Te.upf
Sb 121.76 Sb.upf
Np 237.00 Np.upf
ATOMIC_POSITIONS angstrom
K -4.8133 -2.7518 -3.7228
Te -2.0935 -1.2798 -1.9932
K -1.5798 -4.6043 4.5721
Te -0.4490 -5.3783 -1.0261
Sb 0.0305 -3.2094 -3.2216
Te -5.9366 -5.1384 -1.3568
Te -5.9442 -1.9778 1.8754
Sb 1.6477 -4.1359 0.9269
K -3.1966 -3.6780 0.4246
Np 0.0000 0.0000 0.0000
Te -4.2996 -6.0763 2.8425
Te -0.4565 -2.2177 2.2061
CELL_PARAMETERS angstrom
-1.5861 -2.2832 -7.3689
3.2644 -5.0621 5.0742
-8.0713 -0.0108 3.1439
```

Values from the calculation:
**Magnetic moment**: 4.0 μB/cell
**Space group**: C2/m, No. 12
**Raw formation energy**: -0.640 eV/atom